# Ba2LiZn6Ag

A relaxed Ba2LiZn6Ag crystal (GGA-PBE, Alexandria via LeMat-Bulk).

abc: 7.0378 7.0380 7.0382
angles: 59.86 59.86 90.01
Closest atoms and distances in Å follow each position.
Fractional coordinates of all 10 atoms:
Li 0.0000 0.0000 0.0000  6 Zn 2.38-2.40
Ag 0.5000 0.5000 0.0000  6 Zn 2.57-2.58
Zn 0.7592 0.2407 0.0000  1 Li 2.40, 1 Ag 2.58
Zn 0.7592 0.7593 0.9999  1 Li 2.40, 1 Ag 2.58
Zn 0.2405 0.2405 0.5188  1 Li 2.38, 1 Ag 2.57
Zn 0.2408 0.7593 0.0000  1 Li 2.40, 1 Ag 2.58
Zn 0.7595 0.7595 0.4812  1 Li 2.38, 1 Ag 2.57
Zn 0.2408 0.2407 0.0001  1 Li 2.40, 1 Ag 2.58
Ba 0.7500 0.2501 0.4999  12 Zn 3.50-3.52
Ba 0.2500 0.7499 0.5001  12 Zn 3.50-3.52

Results
formation enthalpy at 0 K = -0.034 eV per atom
E = -1.6596 eV/atom